Entry 1:
DFT (PBE) results for a geometry-optimized Ac3SmAg6 structure.

Cell lengths 7.860, 7.860, 7.860 Å; angles 60.00, 60.00, 60.00 degrees
Positions (direct):
Ac1 0.000 0.000 0.000
Ac2 0.250 0.250 0.250
Ac3 0.750 0.750 0.750
Sm1 0.500 0.500 0.500
Ag1 0.256 0.256 0.744
Ag2 0.256 0.744 0.256
Ag3 0.256 0.744 0.744
Ag4 0.744 0.256 0.256
Ag5 0.744 0.256 0.744
Ag6 0.744 0.744 0.256

Results
spin magnetization	0.000	μB/atom
E_form	3.68	eV per formula unit

Entry 2:
DFT (PBE) results for a geometry-optimized Ac2SmAg9 structure.

Cell lengths 10.143, 10.143, 10.143 Å; angles 33.17, 33.17, 33.17 degrees
Positions (direct):
Ac1 0.139 0.139 0.139
Ac2 0.861 0.861 0.861
Sm1 0.000 0.000 0.000
Ag1 0.080 0.581 0.581
Ag2 0.333 0.333 0.333
Ag3 0.419 0.419 0.920
Ag4 0.419 0.920 0.419
Ag5 0.500 0.500 0.500
Ag6 0.581 0.080 0.581
Ag7 0.581 0.581 0.080
Ag8 0.667 0.667 0.667
Ag9 0.920 0.419 0.419

Results
spin magnetization	0.000	μB/atom
E_form	-1.73	eV per formula unit

Entry 3:
DFT (PBE) results for a geometry-optimized AcSm2Ag structure.

Cell lengths 5.632, 5.632, 5.632 Å; angles 60.00, 60.00, 60.00 degrees
Positions (direct):
Ac1 0.000 0.000 0.000
Sm1 0.250 0.250 0.250
Sm2 0.750 0.750 0.750
Ag1 0.500 0.500 0.500

Results
relative energy among the computed polymorphs	6.01	kcal/mol of atoms
spin magnetization	0.000	μB/atom
E_form	0.64	eV per formula unit

Entry 4:
DFT (PBE) results for a geometry-optimized Ac2Sm3Ag2 structure.

Cell lengths 15.952, 15.952, 3.782 Å; angles 90.00, 90.00, 166.28 degrees
Positions (direct):
Ac1 0.198 0.802 0.000
Ac2 0.802 0.198 0.000
Sm1 0.077 0.923 0.000
Sm2 0.500 0.500 0.500
Sm3 0.923 0.077 0.000
Ag1 0.370 0.630 0.500
Ag2 0.630 0.370 0.500

Results
relative energy among the computed polymorphs	0.08	kcal/mol of atoms
spin magnetization	0.000	μB/atom
E_form	-0.52	eV per formula unit

Entry 5:
DFT (PBE) results for a geometry-optimized Ac2SmAg structure.

Cell lengths 5.815, 5.815, 5.815 Å; angles 60.00, 60.00, 60.00 degrees
Positions (direct):
Ac1 0.250 0.250 0.250
Ac2 0.750 0.750 0.750
Sm1 0.000 0.000 0.000
Ag1 0.500 0.500 0.500

Results
relative energy among the computed polymorphs	4.17	kcal/mol of atoms
spin magnetization	0.000	μB/atom
E_form	0.35	eV per formula unit

Entry 6:
DFT (PBE) results for a geometry-optimized AcSm4Ag5 structure.

Cell lengths 3.743, 3.743, 18.997 Å; angles 90.00, 90.00, 90.00 degrees
Positions (direct):
Ac1 0.000 0.000 0.000
Sm1 0.000 0.000 0.207
Sm2 0.000 0.000 0.403
Sm3 0.000 0.000 0.597
Sm4 0.000 0.000 0.793
Ag1 0.500 0.500 0.115
Ag2 0.500 0.500 0.305
Ag3 0.500 0.500 0.500
Ag4 0.500 0.500 0.695
Ag5 0.500 0.500 0.885

Results
spin magnetization	0.000	μB/atom
E_form	-2.70	eV per formula unit

no.,DFT total energy (eV per atom)
1,-3.047
2,-3.361
3,-3.940
4,-4.085
5,-3.861
6,-3.994